(1)
# Li2AgAu6 (GGA-PBE, optimized geometry)
data_Li2AgAu6
_cell_length_a 14.496
_cell_length_b 7.804
_cell_length_c 2.867
_cell_angle_alpha 90.00
_cell_angle_beta 100.73
_cell_angle_gamma 90.00
_space_group_name_H-M_alt 'C 1 2/m 1'
_space_group_IT_number 12
_space_group_name_Hall '-C 2y'
loop_
_atom_site_label
_atom_site_type_symbol
_atom_site_fract_x
_atom_site_fract_y
_atom_site_fract_z
_atom_site_occupancy
Li1 Li 0.167 0.000 0.173 1
Ag1 Ag 0.000 0.500 0.500 1
Au1 Au 0.000 0.179 0.000 1
Au2 Au 0.169 0.306 0.671 1
# size of the total moment: 0.00 μB per atom
# energy: -56.83 eV/cell

(2)
# Ac4BSCl2 (GGA-PBE, optimized geometry)
data_Ac4BSCl2
_cell_length_a 7.497
_cell_length_b 4.283
_cell_length_c 7.726
_cell_angle_alpha 90.00
_cell_angle_beta 108.64
_cell_angle_gamma 90.00
_space_group_name_H-M_alt 'P 1 2/m 1'
_space_group_IT_number 10
_space_group_name_Hall '-P 2y'
loop_
_atom_site_label
_atom_site_type_symbol
_atom_site_fract_x
_atom_site_fract_y
_atom_site_fract_z
_atom_site_occupancy
Ac1 Ac 0.220 0.000 0.210 1
Ac2 Ac 0.243 0.500 0.783 1
B1 B 0.000 0.500 0.000 1
S1 S 0.500 0.000 0.000 1
Cl1 Cl 0.000 0.000 0.500 1
Cl2 Cl 0.500 0.500 0.500 1
# size of the total moment: 0.00 μB per atom
# E_form (uncorrected): -1.269 eV/atom

(3)
# Nd4ZnAg3 (GGA-PBE, optimized geometry)
data_Nd4ZnAg3
_cell_length_a 3.746
_cell_length_b 3.746
_cell_length_c 14.868
_cell_angle_alpha 90.00
_cell_angle_beta 90.00
_cell_angle_gamma 90.00
_space_group_name_H-M_alt 'P 4/m m m'
_space_group_IT_number 123
_space_group_name_Hall '-P 4 2'
loop_
_atom_site_label
_atom_site_type_symbol
_atom_site_fract_x
_atom_site_fract_y
_atom_site_fract_z
_atom_site_occupancy
Nd1 Nd 0.000 0.000 0.120 1
Nd2 Nd 0.000 0.000 0.373 1
Zn1 Zn 0.500 0.500 0.000 1
Ag1 Ag 0.500 0.500 0.247 1
Ag2 Ag 0.500 0.500 0.500 1
# size of the total moment: 0.00 μB per atom
# energy: -31.11 eV/cell

(4)
# CaScP (GGA-PBE, optimized geometry)
data_CaScP
_cell_length_a 6.492
_cell_length_b 6.492
_cell_length_c 6.492
_cell_angle_alpha 90.00
_cell_angle_beta 90.00
_cell_angle_gamma 90.00
_space_group_name_H-M_alt 'F -4 3 m'
_space_group_IT_number 216
_space_group_name_Hall 'F -4 2 3'
loop_
_atom_site_label
_atom_site_type_symbol
_atom_site_fract_x
_atom_site_fract_y
_atom_site_fract_z
_atom_site_occupancy
Ca1 Ca 0.000 0.000 0.000 1
Sc1 Sc 0.000 0.000 0.500 1
P1 P 0.250 0.250 0.750 1
# size of the total moment: 0.00 μB per atom
# energy: -63.91 eV/cell

(5)
# DyPa2Rh4 (GGA-PBE, optimized geometry)
data_DyPa2Rh4
_cell_length_a 10.720
_cell_length_b 4.770
_cell_length_c 11.000
_cell_angle_alpha 90.00
_cell_angle_beta 90.00
_cell_angle_gamma 90.00
_space_group_name_H-M_alt 'P n m a'
_space_group_IT_number 62
_space_group_name_Hall '-P 2ac 2n'
loop_
_atom_site_label
_atom_site_type_symbol
_atom_site_fract_x
_atom_site_fract_y
_atom_site_fract_z
_atom_site_occupancy
Dy1 Dy 0.169 0.250 0.092 1
Pa1 Pa 0.072 0.750 0.348 1
Pa2 Pa 0.145 0.750 0.854 1
Rh1 Rh 0.011 0.750 0.102 1
Rh2 Rh 0.072 0.750 0.622 1
Rh3 Rh 0.169 0.250 0.487 1
Rh4 Rh 0.216 0.250 0.729 1
# size of the total moment: 0.00 μB per atom
# energy: -235.03 eV/cell